{"formula": "Y3Ho9Th2", "functional": "GGA-PBE", "state": "relaxed", "mass_density_g_cm3": 8.3, "ef_ev_per_fu": 0.46, "magnetic_moment_mub_per_cell": 0.0, "cell": [[4.440, 1.015, 2.095], [3.981, 10.024, 4.719], [2.147, 2.090, 12.440]], "species": ["Y", "Y", "Y", "Ho", "Ho", "Ho", "Ho", "Ho", "Ho", "Ho", "Ho", "Ho", "Th", "Th"], "frac_coords": [[0.684, 0.141, 0.070], [0.753, 0.213, 0.285], [0.246, 0.716, 0.787], [0.106, 0.574, 0.356], [0.534, 0.000, 0.644], [0.465, 0.928, 0.429], [0.317, 0.788, 0.001], [0.894, 0.356, 0.715], [0.182, 0.642, 0.569], [0.818, 0.286, 0.502], [0.970, 0.427, 0.926], [0.029, 0.503, 0.145], [0.607, 0.071, 0.858], [0.396, 0.856, 0.213]]}